1) The following is a DFT calculation (SCAN) of a crystal of LiMnMo relaxed with PBEsol.

Geometry as extended XYZ:
```
3
Lattice="3.9738 0.0000 0.0000 1.9869 3.4414 0.0000 1.9869 1.1471 3.2446" Properties=species:S:1:pos:R:3 pbc="T T T"
Li 0.0000 0.0000 0.0000
Mn 3.9738 2.2943 1.6223
Mo 1.9869 1.1471 0.8111
```

=====

2) The following is a DFT calculation (SCAN) of a crystal of LiMnMo relaxed with PBEsol.

Geometry as extended XYZ:
```
3
Lattice="-2.4891 -0.5682 -0.2589 1.1589 -1.6292 1.6089 -0.7953 5.1489 4.4784" Properties=species:S:1:pos:R:3 pbc="T T T"
Li -0.0191 0.0531 0.0675
Mn -1.1650 0.2876 2.4389
Mo -0.9414 2.6108 3.3220
```

=====

2) is the most stable structure; the next one sits 733 meV per atom above it.

=====

1) The following is a DFT calculation (SCAN) of a crystal of Li2MnMo relaxed with PBEsol.

Geometry as extended XYZ:
```
4
Lattice="-2.9585 0.7173 -0.1825 -0.4979 -0.9297 4.4172 2.5517 3.7198 -1.2639" Properties=species:S:1:pos:R:3 pbc="T T T"
Li 0.0162 0.0709 0.0168
Li -1.0700 2.1545 0.3329
Mn -1.7022 0.0077 2.1442
Mo 0.1232 1.1680 2.5942
```

=====

2) The following is a DFT calculation (SCAN) of a crystal of Li2MnMo relaxed with PBEsol.

Geometry as extended XYZ:
```
4
Lattice="-1.7615 0.6987 -1.4559 -1.9840 -2.0072 3.3985 -0.2167 4.6676 2.5024" Properties=species:S:1:pos:R:3 pbc="T T T"
Li -3.9509 3.2846 4.3954
Li -1.5909 2.7242 3.2323
Mn -1.0172 2.5221 0.4800
Mo -2.3547 0.8705 1.3056
```

=====

2) is the most stable structure; the next one sits 36 meV per atom above it.

=====

1) The following is a DFT calculation (SCAN) of a crystal of Li2MnNi relaxed with PBEsol.

Geometry as extended XYZ:
```
4
Lattice="-0.8109 4.0290 0.2348 -0.2862 1.8312 3.6757 2.9276 2.6207 1.2275" Properties=species:S:1:pos:R:3 pbc="T T T"
Li 0.0000 0.0000 0.0000
Li 1.3729 6.3606 3.8535
Mn 0.9153 4.2404 2.5690
Ni 0.4576 2.1202 1.2845
```

=====

2) The following is a DFT calculation (SCAN) of a crystal of Li2MnNi relaxed with PBEsol.

Geometry as extended XYZ:
```
4
Lattice="-0.3272 -2.4011 0.4714 2.4445 -0.3418 -0.0444 0.3540 1.5042 7.9082" Properties=species:S:1:pos:R:3 pbc="T T T"
Li 0.3402 1.4454 7.5987
Li 1.1572 -0.9530 2.4132
Mn 0.1881 0.7994 4.2024
Ni 1.3170 -0.2740 5.9832
```

=====

1) is the most stable structure; the next one sits 115 meV per atom above it.

=====

1) The following is a DFT calculation (SCAN) of a crystal of LiMn7O12 relaxed with PBEsol.

Geometry as extended XYZ:
```
20
Lattice="6.2702 0.0000 0.0000 -2.0901 5.9116 0.0000 -2.0901 -2.9558 5.1196" Properties=species:S:1:pos:R:3 pbc="T T T"
Li 0.0000 0.0000 0.0000
Mn 1.0450 1.4779 2.5598
Mn 2.0901 -1.4779 2.5598
Mn 2.0901 2.9558 0.0000
Mn -1.0450 2.9558 0.0000
Mn -1.0450 -1.4779 2.5598
Mn 3.1351 0.0000 0.0000
Mn -2.0901 1.4779 2.5598
O 2.6251 2.5774 2.6029
O 3.6451 -0.9654 3.5336
O 2.0549 0.1590 1.5860
O -0.0352 -1.6618 4.1889
O 1.5550 0.5871 4.1889
O 4.2153 1.4530 0.6553
O -2.1252 1.5028 4.4643
O 0.5351 2.3687 0.9307
O 2.1253 4.6176 0.9307
O -1.5550 3.9212 1.5860
O 0.0352 2.7968 3.5336
O -0.5351 0.3783 2.5167
```

=====

2) The following is a DFT calculation (SCAN) of a crystal of LiMn7O12 relaxed with PBEsol.

Geometry as extended XYZ:
```
20
Lattice="4.9089 -0.0369 -0.0146 -2.4440 4.2575 -0.0146 -1.0207 -1.7477 9.5229" Properties=species:S:1:pos:R:3 pbc="T T T"
Mn -2.4318 3.0784 4.7468
Mn -0.5568 3.1553 -0.0146
Mn 0.1178 1.5894 4.7468
Mn 1.8274 1.7629 -0.0146
Mn 3.4824 1.5912 2.2787
Mn 2.5124 0.1909 4.7468
Mn 1.7693 -1.3420 7.2149
O -0.7971 2.9692 3.6983
O 0.8189 3.0280 5.8000
O -0.0284 1.3891 8.4854
O -1.5335 1.7083 5.7953
O 0.2204 1.8151 1.0083
O 2.7940 2.9776 1.0607
O -0.7907 0.2719 3.6936
O 1.7430 1.6067 3.7175
O 2.3822 0.0037 8.4252
O 0.9012 0.1654 5.7761
O 0.2236 -1.4236 8.4329
O 2.6114 0.3962 1.0684
Li 4.3865 0.2683 -0.0146
```

=====

1) is the most stable structure; the next one sits 130 meV per atom above it.

=====

1) The following is a DFT calculation (SCAN) of a crystal of Li2MnO2 relaxed with PBEsol.

Geometry as extended XYZ:
```
10
Lattice="2.9549 0.0000 0.0000 0.0000 5.3190 0.0000 0.0000 0.0000 5.3190" Properties=species:S:1:pos:R:3 pbc="T T T"
Mn 0.0000 0.0000 0.0000
Mn 0.0000 2.6595 2.6595
O 0.0000 1.6695 4.3290
O 0.0000 4.3290 3.6495
O 0.0000 3.6495 0.9900
O 0.0000 0.9900 1.6695
Li 1.4775 0.7434 3.4029
Li 1.4775 3.4029 4.5755
Li 1.4775 4.5755 1.9160
Li 1.4775 1.9160 0.7434
```

=====

2) The following is a DFT calculation (SCAN) of a crystal of Li2MnO2 relaxed with PBEsol.

Geometry as extended XYZ:
```
5
Lattice="-2.5163 0.7774 -0.9373 -0.6064 -3.5412 -1.3093 -0.2563 0.2393 5.0554" Properties=species:S:1:pos:R:3 pbc="T T T"
Mn -1.5613 -1.3819 -1.1233
O -2.5484 -0.4224 2.3227
O -0.8305 -2.1021 0.4861
Li -2.6736 -2.0811 1.2828
Li -0.7054 -0.4434 1.5259
```

=====

2) is the most stable structure; the next one sits 234 meV per atom above it.